Density functional theory data (PBE-GGA) for an optimized crystal structure of SmErSc4.

Output
The space group is Immm (71). As for the spin magnetization: 0.000 μB/f.u. The density of states at the Fermi level comes out at 21.89 states/eV/cell. For the energy relative to the elements, the calculation gives 0.066 eV/atom.

Lattice parameters (Å, degrees): 5.3179 6.2581 11.3094 72.55 90.00 115.14
Positions (direct):
Sc (0.9579, 0.4163, 0.2086)
Sm (0.5000, 0.5000, 0.0000)
Sc (0.0421, 0.5837, 0.7914)
Sc (0.4584, 0.4163, 0.7086)
Sc (0.2911, 0.0821, 0.5422)
Sc (0.7910, 0.0821, 0.0422)
Sc (0.5416, 0.5837, 0.2914)
Sc (0.2090, 0.9179, 0.9578)
Sm (0.0000, 0.5000, 0.5000)
Er (0.2499, 0.0000, 0.2500)
Er (0.7501, 0.0000, 0.7500)
Sc (0.7089, 0.9179, 0.4578)